Cd6Ag3Au (PBE-GGA, optimized geometry); symmetry = P2_1/m, No. 11; energy above the most stable polymorph in this dataset = 0 meV/atom; total DFT energy (no corrections) = -1.809 eV/atom; crystal system = monoclinic; density of states at the Fermi level = 2.21 states/eV/f.u.; ΔE_f = -0.77 eV per formula unit
1.0
8.160 0.000 0.000
0.000 4.867 0.000
-3.780 0.000 10.013
Cd Ag Au
12 6 2
Cartesian
-0.626 1.217 1.671 Cd
-2.493 1.217 6.645 Cd
-0.688 3.650 6.371 Cd
-1.916 1.217 9.820 Cd
1.624 3.650 4.308 Cd
0.539 1.217 7.820 Cd
3.840 3.650 2.193 Cd
2.756 1.217 5.705 Cd
6.295 3.650 0.193 Cd
5.068 1.217 3.642 Cd
6.872 3.650 3.368 Cd
5.006 3.650 8.342 Cd
1.011 3.650 1.337 Ag
-0.134 1.217 4.722 Ag
2.172 1.217 2.728 Ag
2.208 3.650 7.285 Ag
4.513 3.650 5.291 Ag
3.369 1.217 8.676 Ag
-0.316 3.650 9.281 Au
4.696 1.217 0.732 Au

SrTbEr4Se8 (PBE-GGA, optimized geometry); symmetry = R3m, No. 160; formation energy (no corrections) = -1.780 eV per atom; total DFT energy (no corrections) = -5.526 eV/atom; crystal system = trigonal; density of states at the Fermi level = 3.91 states/eV/f.u.
1.0
4.236 2.446 6.952
-4.236 2.446 6.952
0.000 -4.892 6.952
Sr Tb Er Se
1 1 4 8
Cartesian
0.000 0.000 0.000 Sr
0.000 0.000 13.095 Tb
-2.148 -1.240 9.563 Er
0.000 0.000 5.234 Er
2.148 -1.240 9.563 Er
0.000 2.481 9.563 Er
0.000 -2.314 11.242 Se
-2.004 1.157 11.242 Se
0.000 0.000 7.996 Se
-1.896 -1.095 14.913 Se
2.004 1.157 11.242 Se
0.000 0.000 17.967 Se
1.896 -1.095 14.913 Se
0.000 2.189 14.913 Se

CaTmIn2Au4 (PBE-GGA, optimized geometry); symmetry = R-3m, No. 166; total DFT energy (no corrections) = -3.782 eV/atom; crystal system = trigonal; density of states at the Fermi level = 2.47 states/eV/f.u.; ΔE_f = -5.20 eV per formula unit
1.0
2.476 1.430 8.058
-2.476 1.430 8.058
0.000 -2.859 8.058
Ca Tm In Au
1 1 2 4
Cartesian
0.000 0.000 0.000 Ca
0.000 0.000 12.087 Tm
0.000 0.000 6.093 In
0.000 0.000 18.081 In
0.000 0.000 3.139 Au
0.000 0.000 9.155 Au
0.000 0.000 15.019 Au
0.000 0.000 21.035 Au

Q: Number 1 is which compound?
A: Cd6Ag3Au